Entry 1:
A relaxed Ag7Pt5 crystal, computed with PBE.

* energy of formation: 0.032 eV/atom
* DOS(E_F): 8.6 states/eV/f.u.
* crystal system: orthorhombic
* energy relative to the lowest polymorph listed for this composition: 0.0332 eV/atom
* calculated volume: 16.73 Å³ per atom

CIF file:
```
data_Ag7Pt5
_chemical_formula_sum 'Ag14 Pt10'
_symmetry_space_group_name_H-M 'C m m m'
_symmetry_Int_Tables_number 65
_symmetry_space_group_name_Hall '-C 2 2'
_cell_length_a 5.749
_cell_length_b 17.199
_cell_length_c 4.062
_cell_angle_alpha 90.00
_cell_angle_beta 90.00
_cell_angle_gamma 90.00
loop_
_atom_site_label
_atom_site_type_symbol
_atom_site_fract_x
_atom_site_fract_y
_atom_site_fract_z
_atom_site_occupancy
Ag1 Ag 0.000 0.000 0.000 1
Ag2 Ag 0.000 0.167 0.000 1
Ag3 Ag 0.246 0.416 0.500 1
Pt1 Pt 0.000 0.330 0.000 1
Pt2 Pt 0.000 0.500 0.000 1
Pt3 Pt 0.250 0.250 0.500 1
```



Entry 2:
A relaxed Ag2Pt3 crystal, computed with PBE.

* energy of formation: 0.502 eV/atom
* DOS(E_F): 9.8 states/eV/f.u.
* crystal system: trigonal
* energy relative to the lowest polymorph listed for this composition: 0.5426 eV/atom
* calculated volume: 18.31 Å³ per atom

CIF file:
```
data_Ag2Pt3
_chemical_formula_sum 'Ag2 Pt3'
_symmetry_space_group_name_H-M 'P -3 m 1'
_symmetry_Int_Tables_number 164
_symmetry_space_group_name_Hall '-P 3 2"'
_cell_length_a 4.4022
_cell_length_b 4.4022
_cell_length_c 5.4561
_cell_angle_alpha 90.00
_cell_angle_beta 90.00
_cell_angle_gamma 120.00
loop_
_atom_site_label
_atom_site_type_symbol
_atom_site_fract_x
_atom_site_fract_y
_atom_site_fract_z
_atom_site_occupancy
Ag1 Ag 0.3333 0.6667 0.3451 1
Pt1 Pt 0.0000 0.0000 0.5000 1
Pt2 Pt 0.3333 0.6667 0.8593 1
```



Entry 3:
A relaxed Ag5Pt7 crystal, computed with PBE.

* energy of formation: -0.002 eV/atom
* DOS(E_F): 7.6 states/eV/f.u.
* crystal system: orthorhombic
* energy relative to the lowest polymorph listed for this composition: 0.0068 eV/atom
* calculated volume: 16.37 Å³ per atom

CIF file:
```
data_Ag5Pt7
_chemical_formula_sum 'Ag5 Pt7'
_symmetry_space_group_name_H-M 'P m m m'
_symmetry_Int_Tables_number 47
_cell_length_a 2.799
_cell_length_b 8.105
_cell_length_c 8.658
_cell_angle_alpha 90.00
_cell_angle_beta 90.00
_cell_angle_gamma 90.00
loop_
_symmetry_equiv_pos_as_xyz
'x,y,z'
'-x,-y,-z'
'-x,-y,z'
'x,y,-z'
'x,-y,-z'
'-x,y,z'
'-x,y,-z'
'x,-y,z'
loop_
_atom_site_label
_atom_site_type_symbol
_atom_site_fract_x
_atom_site_fract_y
_atom_site_fract_z
_atom_site_occupancy
Ag1 Ag 0.000 0.000 0.000 1
Ag2 Ag 0.000 0.500 0.337 1
Ag3 Ag 0.500 0.238 0.500 1
Pt1 Pt 0.000 0.000 0.318 1
Pt2 Pt 0.000 0.500 0.000 1
Pt3 Pt 0.500 0.254 0.165 1
```



Entry 4:
A relaxed Ag3Pt2 crystal, computed with PBE.

* energy of formation: 0.077 eV/atom
* DOS(E_F): 2.4 states/eV/f.u.
* crystal system: orthorhombic
* energy relative to the lowest polymorph listed for this composition: 0.1324 eV/atom
* calculated volume: 18.26 Å³ per atom

CIF file:
```
data_Ag3Pt2
_chemical_formula_sum 'Ag24 Pt16'
_symmetry_space_group_name_H-M 'F d d 2'
_symmetry_Int_Tables_number 43
_symmetry_space_group_name_Hall 'F 2 -2d'
_cell_length_a 13.485
_cell_length_b 19.475
_cell_length_c 2.782
_cell_angle_alpha 90.00
_cell_angle_beta 90.00
_cell_angle_gamma 90.00
loop_
_atom_site_label
_atom_site_type_symbol
_atom_site_fract_x
_atom_site_fract_y
_atom_site_fract_z
_atom_site_occupancy
Ag1 Ag 0.000 0.000 0.000 1
Ag2 Ag 0.090 0.139 0.979 1
Pt1 Pt 0.074 0.279 0.740 1
```



Entry 5:
A relaxed Ag5Pt6 crystal, computed with PBE.

* energy of formation: 0.035 eV/atom
* DOS(E_F): 9.0 states/eV/f.u.
* crystal system: monoclinic
* energy relative to the lowest polymorph listed for this composition: 0.0377 eV/atom
* calculated volume: 16.48 Å³ per atom

CIF file:
```
data_Ag5Pt6
_chemical_formula_sum 'Ag10 Pt12'
_symmetry_space_group_name_H-M 'C 1 m 1'
_symmetry_Int_Tables_number 8
_cell_length_a 14.679
_cell_length_b 3.989
_cell_length_c 6.371
_cell_angle_alpha 90.00
_cell_angle_beta 103.57
_cell_angle_gamma 90.00
loop_
_symmetry_equiv_pos_as_xyz
'x,y,z'
'x,-y,z'
'x+1/2,y+1/2,z'
'x+1/2,-y+1/2,z'
loop_
_atom_site_label
_atom_site_type_symbol
_atom_site_fract_x
_atom_site_fract_y
_atom_site_fract_z
_atom_site_occupancy
Ag1 Ag 0.000 0.000 0.000 1
Ag2 Ag 0.043 0.500 0.728 1
Ag3 Ag 0.181 0.000 0.916 1
Ag4 Ag 0.226 0.500 0.646 1
Ag5 Ag 0.455 0.000 0.272 1
Pt1 Pt 0.090 0.000 0.452 1
Pt2 Pt 0.143 0.500 0.203 1
Pt3 Pt 0.274 0.000 0.366 1
Pt4 Pt 0.318 0.500 0.092 1
Pt5 Pt 0.362 0.000 0.817 1
Pt6 Pt 0.405 0.500 0.543 1
```



Entry 6:
A relaxed Ag3Pt crystal, computed with PBE.

* energy of formation: 0.033 eV/atom
* DOS(E_F): 0.9 states/eV/f.u.
* crystal system: orthorhombic
* calculated volume: 17.21 Å³ per atom

CIF file:
```
data_Ag3Pt
_chemical_formula_sum 'Ag6 Pt2'
_symmetry_space_group_name_H-M 'P m m n'
_symmetry_Int_Tables_number 59
_cell_length_a 4.775
_cell_length_b 5.741
_cell_length_c 5.023
_cell_angle_alpha 90.00
_cell_angle_beta 90.00
_cell_angle_gamma 90.00
loop_
_symmetry_equiv_pos_as_xyz
'x,y,z'
'-x,-y,-z'
'-x+1/2,-y+1/2,z'
'x+1/2,y+1/2,-z'
'x+1/2,-y,-z'
'-x+1/2,y,z'
'-x,y+1/2,-z'
'x,-y+1/2,z'
loop_
_atom_site_label
_atom_site_type_symbol
_atom_site_fract_x
_atom_site_fract_y
_atom_site_fract_z
_atom_site_occupancy
Ag1 Ag 0.250 0.000 0.169 1
Ag2 Ag 0.250 0.250 0.661 1
Pt1 Pt 0.250 0.750 0.672 1
```